Nd2Dy3S8: relaxed, GGA-PBE.

a = 8.025 Å, b = 8.025 Å, c = 6.760 Å
α = 107.30°, β = 107.30°, γ = 60.20°
Sites, in units of the cell vectors:
Nd (0.235, 0.235, 0.157)
Nd (0.765, 0.765, 0.843)
Dy (0.238, 0.762, 0.500)
Dy (0.500, 0.500, 0.000)
Dy (0.762, 0.238, 0.500)
S (0.120, 0.120, 0.428)
S (0.148, 0.610, 0.088)
S (0.387, 0.387, 0.575)
S (0.390, 0.852, 0.912)
S (0.610, 0.148, 0.088)
S (0.613, 0.613, 0.425)
S (0.852, 0.390, 0.912)
S (0.880, 0.880, 0.572)

Output
DFT total energy   -6.226 eV/atom
N(E_F)   7.0 states/eV/f.u.
ΔE_f (raw)   -182.4 kJ/mol of atoms

NdDy4S7: relaxed, GGA-PBE.

a = 6.780 Å, b = 6.780 Å, c = 11.695 Å
α = 103.87°, β = 103.87°, γ = 32.82°
Sites, in units of the cell vectors:
Nd (0.000, 0.000, 0.000)
Dy (0.112, 0.112, 0.422)
Dy (0.223, 0.223, 0.838)
Dy (0.412, 0.412, 0.606)
Dy (0.812, 0.812, 0.235)
S (0.068, 0.068, 0.634)
S (0.157, 0.157, 0.211)
S (0.363, 0.363, 0.069)
S (0.454, 0.454, 0.370)
S (0.615, 0.615, 0.914)
S (0.771, 0.771, 0.471)
S (0.850, 0.850, 0.767)

Output
DFT total energy   -6.396 eV/atom
N(E_F)   1.5 states/eV/f.u.
ΔE_f (raw)   -198.5 kJ/mol of atoms

Nd2DyS4: relaxed, GGA-PBE.

a = 6.998 Å, b = 6.998 Å, c = 13.425 Å
α = 90.00°, β = 90.00°, γ = 147.88°
Sites, in units of the cell vectors:
Nd (0.129, 0.871, 0.572)
Nd (0.129, 0.871, 0.928)
Nd (0.871, 0.129, 0.072)
Nd (0.871, 0.129, 0.428)
Dy (0.373, 0.627, 0.750)
Dy (0.627, 0.373, 0.250)
S (0.018, 0.982, 0.750)
S (0.220, 0.780, 0.126)
S (0.220, 0.780, 0.374)
S (0.500, 0.500, 0.000)
S (0.500, 0.500, 0.500)
S (0.780, 0.220, 0.626)
S (0.780, 0.220, 0.874)
S (0.982, 0.018, 0.250)

Output
DFT total energy   -6.385 eV/atom
Energy above the most stable polymorph in this dataset   10.2 meV/atom
N(E_F)   1.9 states/eV/f.u.
ΔE_f (raw)   -193.6 kJ/mol of atoms